! ZnIn2Cu, optimized geometry, DFT PBE-GGA; values from VASP
&SYSTEM
  ibrav = 0, nat = 4, ntyp = 3
/
ATOMIC_SPECIES
Cu 63.55 Cu.upf
In 114.82 In.upf
Zn 65.41 Zn.upf
CELL_PARAMETERS angstrom
3.1514 0.0000 0.0000
0.0000 3.1514 0.0000
0.0000 0.0000 8.0257
ATOMIC_POSITIONS crystal
Cu 0.5000 0.5000 0.7145
In 0.5000 0.5000 0.2840
In 0.0000 0.0000 0.9469
Zn 0.0000 0.0000 0.5547
! density: 7471 kg/m³
! space group: P4mm, No. 99
! ΔH_f (0 K): 74 meV/atom
! DOS(E_F): 1.7 states/eV/f.u.


! AcHoCu2S4, optimized geometry, DFT PBE-GGA; values from VASP
&SYSTEM
  ibrav = 0, nat = 8, ntyp = 4
/
ATOMIC_SPECIES
Cu 63.55 Cu.upf
Ac 227.00 Ac.upf
S 32.06 S.upf
Ho 164.93 Ho.upf
CELL_PARAMETERS angstrom
6.5087 0.0000 0.0000
3.2543 5.2777 0.0954
3.2543 0.5276 5.2521
ATOMIC_POSITIONS crystal
Cu 0.8354 0.6646 0.6646
Ac 0.0000 0.0000 0.0000
S 0.5449 0.4958 0.8983
S 0.0609 0.8983 0.4958
S 0.9391 0.5042 0.1017
Cu 0.1646 0.3354 0.3354
Ho 0.5000 0.5000 0.5000
S 0.4551 0.1017 0.5042
! density: 5968 kg/m³
! space group: I222, No. 23
! electronic total energy: -0.20100 hartree per atom
! DOS(E_F): 0.0 states/eV/f.u.


! NdIn2TcO8, optimized geometry, DFT PBE-GGA; values from VASP
&SYSTEM
  ibrav = 0, nat = 12, ntyp = 4
/
ATOMIC_SPECIES
O 16.00 O.upf
In 114.82 In.upf
Nd 144.24 Nd.upf
Tc 98.00 Tc.upf
CELL_PARAMETERS angstrom
4.9956 -0.0220 -0.0029
0.0038 4.9865 -0.0055
0.0042 0.0074 6.7100
ATOMIC_POSITIONS crystal
O 0.8155 0.1860 0.7990
O 0.1845 0.8140 0.7990
In 0.5000 0.5000 0.7532
Nd 0.0000 0.0000 0.5000
O 0.3177 0.3158 0.5000
O 0.1845 0.8140 0.2010
In 0.5000 0.5000 0.2468
O 0.2824 0.2812 0.0000
O 0.7176 0.7188 0.0000
O 0.8155 0.1860 0.2010
O 0.6823 0.6842 0.5000
Tc 0.0000 0.0000 0.0000
! density: 5959 kg/m³
! space group: P2/m, No. 10
! electronic total energy: -0.24767 hartree per atom
! DOS(E_F): 1.5 states/eV/f.u.


! Li3Ca2Hg4, optimized geometry, DFT PBE-GGA; values from VASP
&SYSTEM
  ibrav = 0, nat = 18, ntyp = 3
/
ATOMIC_SPECIES
Hg 200.59 Hg.upf
Ca 40.08 Ca.upf
Li 6.94 Li.upf
CELL_PARAMETERS angstrom
6.3788 0.0000 0.0000
0.0000 8.0873 0.0000
-3.1894 0.0000 8.0283
ATOMIC_POSITIONS crystal
Hg 0.7037 0.7500 0.9074
Hg 0.2037 0.7500 0.9074
Ca 0.1145 0.5849 0.2290
Ca 0.3855 0.0849 0.7710
Li 0.0318 0.7500 0.5635
Ca 0.6145 0.9151 0.2290
Li 0.5000 0.5000 0.0000
Hg 0.8176 0.0342 0.6352
Hg 0.3176 0.4658 0.6352
Hg 0.6824 0.5342 0.3648
Hg 0.2963 0.2500 0.0926
Li 0.0000 0.0000 0.0000
Li 0.4682 0.2500 0.4365
Li 0.5318 0.7500 0.5635
Li 0.9682 0.2500 0.4365
Ca 0.8855 0.4151 0.7710
Hg 0.1824 0.9658 0.3648
Hg 0.7963 0.2500 0.0926
! density: 7244 kg/m³
! space group: Cmce, No. 64
! ΔH_f (0 K): -402 meV/atom
! DOS(E_F): 4.5 states/eV/f.u.


> Which value of density does entry 2 give?

5968 kg/m³


Copy entry 4 word for word.
! Li3Ca2Hg4, optimized geometry, DFT PBE-GGA; values from VASP
&SYSTEM
  ibrav = 0, nat = 18, ntyp = 3
/
ATOMIC_SPECIES
Hg 200.59 Hg.upf
Ca 40.08 Ca.upf
Li 6.94 Li.upf
CELL_PARAMETERS angstrom
6.3788 0.0000 0.0000
0.0000 8.0873 0.0000
-3.1894 0.0000 8.0283
ATOMIC_POSITIONS crystal
Hg 0.7037 0.7500 0.9074
Hg 0.2037 0.7500 0.9074
Ca 0.1145 0.5849 0.2290
Ca 0.3855 0.0849 0.7710
Li 0.0318 0.7500 0.5635
Ca 0.6145 0.9151 0.2290
Li 0.5000 0.5000 0.0000
Hg 0.8176 0.0342 0.6352
Hg 0.3176 0.4658 0.6352
Hg 0.6824 0.5342 0.3648
Hg 0.2963 0.2500 0.0926
Li 0.0000 0.0000 0.0000
Li 0.4682 0.2500 0.4365
Li 0.5318 0.7500 0.5635
Li 0.9682 0.2500 0.4365
Ca 0.8855 0.4151 0.7710
Hg 0.1824 0.9658 0.3648
Hg 0.7963 0.2500 0.0926
! density: 7244 kg/m³
! space group: Cmce, No. 64
! ΔH_f (0 K): -402 meV/atom
! DOS(E_F): 4.5 states/eV/f.u.


> Among the records above, which one has the highest DOS(E_F)?

Li3Ca2Hg4